No. 1
# GGA-PBE Cu2PPb, optimized geometry
data_Cu2PPb
_chemical_formula_sum 'Cu6 P3 Pb3'
_cell_length_a 3.9027
_cell_length_b 3.9027
_cell_length_c 17.3783
_cell_angle_alpha 90.00
_cell_angle_beta 90.00
_cell_angle_gamma 120.00
_space_group_name_H-M_alt 'R 3 m'
_space_group_IT_number 160
_space_group_name_Hall 'R 3 -2"'
loop_
_atom_site_label
_atom_site_fract_x
_atom_site_fract_y
_atom_site_fract_z
Cu1 0.0000 0.0000 0.0000
Cu2 0.0000 0.0000 0.2584
P1 0.0000 0.0000 0.6275
Pb1 0.0000 0.0000 0.4596
# Energy of formation, meV/atom: 55
# Final energy, eV per atom: -4.273



No. 2
# GGA-PBE RuPb3N, optimized geometry
data_RuPb3N
_chemical_formula_sum 'Ru1 Pb3 N1'
_cell_length_a 5.219
_cell_length_b 5.219
_cell_length_c 5.219
_cell_angle_alpha 90.00
_cell_angle_beta 90.00
_cell_angle_gamma 90.00
_space_group_name_H-M_alt 'P m -3 m'
_space_group_IT_number 221
_space_group_name_Hall '-P 4 2 3'
loop_
_atom_site_label
_atom_site_fract_x
_atom_site_fract_y
_atom_site_fract_z
Ru1 0.000 0.000 0.000
Pb1 0.000 0.000 0.500
N1 0.500 0.500 0.500
# Energy above the most stable polymorph in this dataset, meV/atom: 64.9
# Final energy, eV per atom: -4.632



No. 3
# GGA-PBE Ag3OsCl, optimized geometry
data_Ag3OsCl
_chemical_formula_sum 'Ag3 Os1 Cl1'
_cell_length_a 4.840
_cell_length_b 4.840
_cell_length_c 4.840
_cell_angle_alpha 90.00
_cell_angle_beta 90.00
_cell_angle_gamma 90.00
_space_group_name_H-M_alt 'P m -3 m'
_space_group_IT_number 221
_space_group_name_Hall '-P 4 2 3'
loop_
_atom_site_label
_atom_site_fract_x
_atom_site_fract_y
_atom_site_fract_z
Ag1 0.000 0.000 0.500
Os1 0.500 0.500 0.500
Cl1 0.000 0.000 0.000
# Energy above the most stable polymorph in this dataset, meV/atom: 225.9
# Final energy, eV per atom: -2.761



No. 4
# GGA-PBE MgZrSnHg, optimized geometry
data_MgZrSnHg
_chemical_formula_sum 'Mg1 Zr1 Sn1 Hg1'
_cell_length_a 4.224
_cell_length_b 4.346
_cell_length_c 4.719
_cell_angle_alpha 90.00
_cell_angle_beta 90.00
_cell_angle_gamma 90.00
_space_group_name_H-M_alt 'P m m m'
_space_group_IT_number 47
loop_
_space_group_symop_operation_xyz
'x,y,z'
'-x,-y,-z'
'-x,-y,z'
'x,y,-z'
'x,-y,-z'
'-x,y,z'
'-x,y,-z'
'x,-y,z'
loop_
_atom_site_label
_atom_site_fract_x
_atom_site_fract_y
_atom_site_fract_z
Mg1 0.000 0.000 0.000
Zr1 0.000 0.500 0.500
Sn1 0.500 0.000 0.500
Hg1 0.500 0.500 0.000
# Energy of formation, meV/atom: -290
# Final energy, eV per atom: -3.902



No. 5
# GGA-PBE PaAl2Cu3, optimized geometry
data_PaAl2Cu3
_chemical_formula_sum 'Pa4 Al8 Cu12'
_cell_length_a 9.358
_cell_length_b 7.844
_cell_length_c 5.328
_cell_angle_alpha 90.00
_cell_angle_beta 90.00
_cell_angle_gamma 90.00
_space_group_name_H-M_alt 'C m c m'
_space_group_IT_number 63
_space_group_name_Hall '-C 2c 2'
loop_
_atom_site_label
_atom_site_fract_x
_atom_site_fract_y
_atom_site_fract_z
Pa1 0.000 0.176 0.250
Al1 0.218 0.500 0.000
Cu1 0.000 0.457 0.750
Cu2 0.149 0.207 0.750
# Energy of formation, meV/atom: -164
# Energy above the most stable polymorph in this dataset, meV/atom: 2.7
# Final energy, eV per atom: -5.042



No. 6
# GGA-PBE ThSi2Rh4, optimized geometry
data_ThSi2Rh4
_chemical_formula_sum 'Th2 Si4 Rh8'
_cell_length_a 7.742
_cell_length_b 7.742
_cell_length_c 3.795
_cell_angle_alpha 90.00
_cell_angle_beta 90.00
_cell_angle_gamma 90.00
_space_group_name_H-M_alt 'P 42/m n m'
_space_group_IT_number 136
_space_group_name_Hall '-P 4n 2n'
loop_
_atom_site_label
_atom_site_fract_x
_atom_site_fract_y
_atom_site_fract_z
Th1 0.000 0.000 0.000
Si1 0.229 0.229 0.500
Rh1 0.074 0.671 0.500
# Energy above the most stable polymorph in this dataset, meV/atom: 41.4
# Final energy, eV per atom: -7.684



No. 7
# GGA-PBE NbAl2TlH, optimized geometry
data_NbAl2TlH
_chemical_formula_sum 'Nb1 Al2 Tl1 H1'
_cell_length_a 4.057
_cell_length_b 4.057
_cell_length_c 4.700
_cell_angle_alpha 90.00
_cell_angle_beta 90.00
_cell_angle_gamma 90.00
_space_group_name_H-M_alt 'P 4/m m m'
_space_group_IT_number 123
_space_group_name_Hall '-P 4 2'
loop_
_atom_site_label
_atom_site_fract_x
_atom_site_fract_y
_atom_site_fract_z
Nb1 0.000 0.000 0.000
Al1 0.000 0.500 0.500
Tl1 0.500 0.500 0.000
H1 0.500 0.500 0.500
# Final energy, eV per atom: -4.371



No. 8
# GGA-PBE Pa3Co4C4, optimized geometry
data_Pa3Co4C4
_chemical_formula_sum 'Pa6 Co8 C8'
_cell_length_a 3.401
_cell_length_b 6.518
_cell_length_c 12.087
_cell_angle_alpha 90.00
_cell_angle_beta 90.00
_cell_angle_gamma 90.00
_space_group_name_H-M_alt 'I m m m'
_space_group_IT_number 71
_space_group_name_Hall '-I 2 2'
loop_
_atom_site_label
_atom_site_fract_x
_atom_site_fract_y
_atom_site_fract_z
Pa1 0.000 0.000 0.000
Pa2 0.000 0.500 0.115
Co1 0.000 0.311 0.318
C1 0.000 0.000 0.218
C2 0.000 0.228 0.500
# Energy of formation, meV/atom: -61
# Final energy, eV per atom: -8.588



No. 9
# GGA-PBE KCaHg2, optimized geometry
data_KCaHg2
_chemical_formula_sum 'K2 Ca2 Hg4'
_cell_length_a 4.750
_cell_length_b 4.750
_cell_length_c 11.086
_cell_angle_alpha 90.00
_cell_angle_beta 90.00
_cell_angle_gamma 90.00
_space_group_name_H-M_alt 'I -4 m 2'
_space_group_IT_number 119
_space_group_name_Hall 'I -4 -2'
loop_
_atom_site_label
_atom_site_fract_x
_atom_site_fract_y
_atom_site_fract_z
K1 0.000 0.000 0.000
Ca1 0.000 0.500 0.750
Hg1 0.000 0.000 0.500
Hg2 0.000 0.500 0.250
# Energy of formation, meV/atom: -206
# Energy above the most stable polymorph in this dataset, meV/atom: 136.2
# Final energy, eV per atom: -1.131



No. 10
# GGA-PBE CdCu3O3, optimized geometry
data_CdCu3O3
_chemical_formula_sum 'Cd2 Cu6 O6'
_cell_length_a 3.3152
_cell_length_b 3.3152
_cell_length_c 18.0592
_cell_angle_alpha 90.00
_cell_angle_beta 90.00
_cell_angle_gamma 120.00
_space_group_name_H-M_alt 'P 63/m m c'
_space_group_IT_number 194
_space_group_name_Hall '-P 6c 2c'
loop_
_atom_site_label
_atom_site_fract_x
_atom_site_fract_y
_atom_site_fract_z
Cd1 0.0000 0.0000 0.0000
Cu1 0.3333 0.6667 0.1322
Cu2 0.3333 0.6667 0.7500
O1 0.3333 0.6667 0.2500
O2 0.3333 0.6667 0.5813
# Final energy, eV per atom: -4.423



No. 11
# GGA-PBE SrDyTm, optimized geometry
data_SrDyTm
_chemical_formula_sum 'Sr2 Dy2 Tm2'
_cell_length_a 3.707
_cell_length_b 3.707
_cell_length_c 15.955
_cell_angle_alpha 90.00
_cell_angle_beta 90.00
_cell_angle_gamma 90.00
_space_group_name_H-M_alt 'I 4 m m'
_space_group_IT_number 107
_space_group_name_Hall 'I 4 -2'
loop_
_atom_site_label
_atom_site_fract_x
_atom_site_fract_y
_atom_site_fract_z
Sr1 0.000 0.000 0.000
Dy1 0.000 0.000 0.318
Tm1 0.000 0.000 0.680
# Energy of formation, meV/atom: 149
# Energy above the most stable polymorph in this dataset, meV/atom: 0.0
# Final energy, eV per atom: -3.436



No. 12
# GGA-PBE Cr5As3, optimized geometry
data_Cr5As3
_chemical_formula_sum 'Cr20 As12'
_cell_length_a 9.234
_cell_length_b 9.234
_cell_length_c 4.891
_cell_angle_alpha 90.00
_cell_angle_beta 90.00
_cell_angle_gamma 90.00
_space_group_name_H-M_alt 'I 4/m c m'
_space_group_IT_number 140
_space_group_name_Hall '-I 4 2c'
loop_
_atom_site_label
_atom_site_fract_x
_atom_site_fract_y
_atom_site_fract_z
Cr1 0.000 0.500 0.250
Cr2 0.077 0.222 0.000
As1 0.000 0.000 0.250
As2 0.164 0.336 0.500
# Energy of formation, meV/atom: 22
# Energy above the most stable polymorph in this dataset, meV/atom: 8.2
# Final energy, eV per atom: -7.737



No. 13
# GGA-PBE ThZrCuOs, optimized geometry
data_ThZrCuOs
_chemical_formula_sum 'Th4 Zr4 Cu4 Os4'
_cell_length_a 6.882
_cell_length_b 6.882
_cell_length_c 6.882
_cell_angle_alpha 90.00
_cell_angle_beta 90.00
_cell_angle_gamma 90.00
_space_group_name_H-M_alt 'F -4 3 m'
_space_group_IT_number 216
_space_group_name_Hall 'F -4 2 3'
loop_
_atom_site_label
_atom_site_fract_x
_atom_site_fract_y
_atom_site_fract_z
Th1 0.000 0.000 0.000
Zr1 0.000 0.000 0.500
Cu1 0.250 0.250 0.250
Os1 0.250 0.250 0.750
# Energy of formation, meV/atom: -149
# Final energy, eV per atom: -7.973



No. 14
# GGA-PBE TiNb5C5, optimized geometry
data_TiNb5C5
_chemical_formula_sum 'Ti2 Nb10 C10'
_cell_length_a 9.939
_cell_length_b 4.492
_cell_length_c 6.285
_cell_angle_alpha 90.00
_cell_angle_beta 108.74
_cell_angle_gamma 90.00
_space_group_name_H-M_alt 'C 1 2/m 1'
_space_group_IT_number 12
loop_
_space_group_symop_operation_xyz
'x,y,z'
'-x,-y,-z'
'-x,y,-z'
'x,-y,z'
'x+1/2,y+1/2,z'
'-x+1/2,-y+1/2,-z'
'-x+1/2,y+1/2,-z'
'x+1/2,-y+1/2,z'
loop_
_atom_site_label
_atom_site_fract_x
_atom_site_fract_y
_atom_site_fract_z
Ti1 0.000 0.000 0.000
Nb1 0.000 0.000 0.500
Nb2 0.170 0.500 0.840
Nb3 0.174 0.500 0.330
C1 0.000 0.500 0.000
C2 0.163 0.000 0.331
C3 0.167 0.000 0.836
# Energy of formation, meV/atom: -579
# Final energy, eV per atom: -10.067



No. 15
# GGA-PBE ErThTiN3, optimized geometry
data_ErThTiN3
_chemical_formula_sum 'Er2 Th2 Ti2 N6'
_cell_length_a 7.249
_cell_length_b 3.397
_cell_length_c 7.827
_cell_angle_alpha 90.00
_cell_angle_beta 96.59
_cell_angle_gamma 90.00
_space_group_name_H-M_alt 'P 1 21/m 1'
_space_group_IT_number 11
loop_
_space_group_symop_operation_xyz
'x,y,z'
'-x,-y,-z'
'-x,y+1/2,-z'
'x,-y+1/2,z'
loop_
_atom_site_label
_atom_site_fract_x
_atom_site_fract_y
_atom_site_fract_z
Er1 0.133 0.250 0.148
Th1 0.340 0.750 0.819
Ti1 0.382 0.750 0.416
N1 0.100 0.250 0.862
N2 0.327 0.250 0.539
N3 0.376 0.750 0.154
# Final energy, eV per atom: -8.820



No. 16
# GGA-PBE K2TlIn2, optimized geometry
data_K2TlIn2
_chemical_formula_sum 'K8 Tl4 In8'
_cell_length_a 7.064
_cell_length_b 16.479
_cell_length_c 7.094
_cell_angle_alpha 90.00
_cell_angle_beta 109.01
_cell_angle_gamma 90.00
_space_group_name_H-M_alt 'C 1 2/m 1'
_space_group_IT_number 12
loop_
_space_group_symop_operation_xyz
'x,y,z'
'-x,-y,-z'
'-x,y,-z'
'x,-y,z'
'x+1/2,y+1/2,z'
'-x+1/2,-y+1/2,-z'
'-x+1/2,y+1/2,-z'
'x+1/2,-y+1/2,z'
loop_
_atom_site_label
_atom_site_fract_x
_atom_site_fract_y
_atom_site_fract_z
K1 0.154 0.152 0.303
Tl1 0.000 0.345 0.000
In1 0.059 0.500 0.314
In2 0.199 0.000 0.953
# Energy of formation, meV/atom: -88
# Energy above the most stable polymorph in this dataset, meV/atom: 0.0
# Final energy, eV per atom: -2.096



No. 17
# GGA-PBE TlCrW2, optimized geometry
data_TlCrW2
_chemical_formula_sum 'Tl1 Cr1 W2'
_cell_length_a 2.952
_cell_length_b 2.952
_cell_length_c 7.769
_cell_angle_alpha 90.00
_cell_angle_beta 90.00
_cell_angle_gamma 90.00
_space_group_name_H-M_alt 'P 4/m m m'
_space_group_IT_number 123
_space_group_name_Hall '-P 4 2'
loop_
_atom_site_label
_atom_site_fract_x
_atom_site_fract_y
_atom_site_fract_z
Tl1 0.000 0.000 0.000
Cr1 0.000 0.000 0.500
W1 0.500 0.500 0.304
# Energy of formation, meV/atom: 632
# Energy above the most stable polymorph in this dataset, meV/atom: 25.7
# Final energy, eV per atom: -8.842



No. 18
# GGA-PBE GeBiSbO6, optimized geometry
data_GeBiSbO6
_chemical_formula_sum 'Ge2 Bi2 Sb2 O12'
_cell_length_a 5.2059
_cell_length_b 5.2059
_cell_length_c 10.0963
_cell_angle_alpha 90.00
_cell_angle_beta 90.00
_cell_angle_gamma 120.00
_space_group_name_H-M_alt 'P -3 1 c'
_space_group_IT_number 163
_space_group_name_Hall '-P 3 2c'
loop_
_atom_site_label
_atom_site_fract_x
_atom_site_fract_y
_atom_site_fract_z
Ge1 0.3333 0.6667 0.2500
Bi1 0.0000 0.0000 0.0000
Sb1 0.3333 0.6667 0.7500
O1 0.0117 0.3774 0.1424
# Final energy, eV per atom: -6.197



No. 19
# GGA-PBE Ta2TiAuC, optimized geometry
data_Ta2TiAuC
_chemical_formula_sum 'Ta2 Ti1 Au1 C1'
_cell_length_a 4.286
_cell_length_b 4.286
_cell_length_c 4.198
_cell_angle_alpha 90.00
_cell_angle_beta 90.00
_cell_angle_gamma 90.00
_space_group_name_H-M_alt 'P 4/m m m'
_space_group_IT_number 123
_space_group_name_Hall '-P 4 2'
loop_
_atom_site_label
_atom_site_fract_x
_atom_site_fract_y
_atom_site_fract_z
Ta1 0.000 0.500 0.000
Ti1 0.000 0.000 0.500
Au1 0.500 0.500 0.500
C1 0.000 0.000 0.000
# Energy of formation, meV/atom: -353
# Final energy, eV per atom: -9.173



No. 20
# GGA-PBE La6PmHo12, optimized geometry
data_La6PmHo12
_chemical_formula_sum 'La18 Pm3 Ho36'
_cell_length_a 13.3567
_cell_length_b 13.3567
_cell_length_c 12.7266
_cell_angle_alpha 90.00
_cell_angle_beta 90.00
_cell_angle_gamma 120.00
_space_group_name_H-M_alt 'R -3 m'
_space_group_IT_number 166
_space_group_name_Hall '-R 3 2"'
loop_
_atom_site_label
_atom_site_fract_x
_atom_site_fract_y
_atom_site_fract_z
La1 0.0379 0.5189 0.1152
Pm1 0.0000 0.0000 0.5000
Ho1 0.0000 0.2538 0.0000
Ho2 0.0918 0.1837 0.7634
# Energy of formation, meV/atom: 218
# Energy above the most stable polymorph in this dataset, meV/atom: 94.3
# Final energy, eV per atom: -4.479



No. 21
# GGA-PBE CeU3Al8, optimized geometry
data_CeU3Al8
_chemical_formula_sum 'Ce3 U9 Al24'
_cell_length_a 5.5984
_cell_length_b 5.5984
_cell_length_c 25.9053
_cell_angle_alpha 90.00
_cell_angle_beta 90.00
_cell_angle_gamma 120.00
_space_group_name_H-M_alt 'R 3 m'
_space_group_IT_number 160
_space_group_name_Hall 'R 3 -2"'
loop_
_atom_site_label
_atom_site_fract_x
_atom_site_fract_y
_atom_site_fract_z
Ce1 0.0000 0.0000 0.0000
U1 0.0000 0.0000 0.3980
U2 0.0000 0.0000 0.4969
U3 0.0000 0.0000 0.8899
Al1 0.0000 0.0000 0.1961
Al2 0.0000 0.0000 0.6966
Al3 0.0018 0.5009 0.4472
Al4 0.1673 0.3346 0.2783
# Energy of formation, meV/atom: -241
# Final energy, eV per atom: -6.052



No. 22
# GGA-PBE RbPdI2, optimized geometry
data_RbPdI2
_chemical_formula_sum 'Rb4 Pd4 I8'
_cell_length_a 8.122
_cell_length_b 8.122
_cell_length_c 8.122
_cell_angle_alpha 90.00
_cell_angle_beta 90.00
_cell_angle_gamma 90.00
_space_group_name_H-M_alt 'F m -3 m'
_space_group_IT_number 225
_space_group_name_Hall '-F 4 2 3'
loop_
_atom_site_label
_atom_site_fract_x
_atom_site_fract_y
_atom_site_fract_z
Rb1 0.000 0.000 0.000
Pd1 0.000 0.000 0.500
I1 0.250 0.250 0.250
# Energy above the most stable polymorph in this dataset, meV/atom: 363.5
# Final energy, eV per atom: -2.549



No. 23
# GGA-PBE LiAsAuSe2, optimized geometry
data_LiAsAuSe2
_chemical_formula_sum 'Li1 As1 Au1 Se2'
_cell_length_a 5.323
_cell_length_b 5.323
_cell_length_c 4.841
_cell_angle_alpha 90.00
_cell_angle_beta 90.00
_cell_angle_gamma 90.00
_space_group_name_H-M_alt 'P 4/m m m'
_space_group_IT_number 123
_space_group_name_Hall '-P 4 2'
loop_
_atom_site_label
_atom_site_fract_x
_atom_site_fract_y
_atom_site_fract_z
Li1 0.000 0.000 0.000
As1 0.500 0.500 0.000
Au1 0.500 0.500 0.500
Se1 0.000 0.500 0.500
# Energy above the most stable polymorph in this dataset, meV/atom: 0.0
# Final energy, eV per atom: -3.055